Entry i
! Rb3HgAs2 (PBE, optimized geometry); values from VASP
! Total magnetization in μB per formula unit: 0.00
! N(E_F) in states/eV/cell: 9.06
&SYSTEM
  ibrav = 0, nat = 12, ntyp = 3
/
ATOMIC_SPECIES
Rb 85.47 Rb.upf
Hg 200.59 Hg.upf
As 74.92 As.upf
CELL_PARAMETERS angstrom
-4.1942 7.1174 3.9883
4.1942 -7.1174 3.9883
4.1942 7.1174 -3.9883
ATOMIC_POSITIONS angstrom
Rb 5.7952 2.5562 0.0000
Rb 0.0000 0.0000 1.9942
Rb 1.6010 4.5612 0.0000
Rb 2.5931 2.5562 3.9883
Rb 0.0000 0.0000 5.9825
Rb -1.6010 4.5612 3.9883
Hg 4.1942 0.0000 1.9942
Hg 0.0000 7.1174 1.9942
As 2.6450 1.1617 0.0000
As 2.6450 -1.1617 3.9883
As 1.5492 8.2791 0.0000
As 1.5492 5.9557 3.9883

***

Entry ii
! Rb3HgAs2 (PBE, optimized geometry); values from VASP
! Total magnetization in μB per formula unit: 1.06
! N(E_F) in states/eV/cell: 9.99
&SYSTEM
  ibrav = 0, nat = 12, ntyp = 3
/
ATOMIC_SPECIES
Rb 85.47 Rb.upf
Hg 200.59 Hg.upf
As 74.92 As.upf
CELL_PARAMETERS angstrom
-3.8971 7.3350 4.6770
3.8971 -7.3350 4.6770
3.8971 7.3350 -4.6770
ATOMIC_POSITIONS angstrom
Rb 3.8971 -3.3459 2.3385
Rb 0.0000 0.0000 2.3385
Rb 3.8971 3.3459 2.3385
Rb 0.0000 3.9891 2.3385
Rb 0.0000 0.0000 7.0154
Rb 0.0000 10.6808 2.3385
Hg 3.8971 0.0000 0.0000
Hg 0.0000 7.3350 0.0000
As 5.7842 1.7068 0.0000
As 1.8871 5.6281 0.0000
As 2.0099 1.7068 4.6770
As -1.8871 5.6281 4.6770

***

Which is the most stable structure? entry ii is the most stable.

***

Entry i
! RbHgAsSe2 (PBE, optimized geometry); values from VASP
! Total magnetization in μB per formula unit: 1.14
! N(E_F) in states/eV/cell: 4.76
&SYSTEM
  ibrav = 0, nat = 5, ntyp = 4
/
ATOMIC_SPECIES
Rb 85.47 Rb.upf
Hg 200.59 Hg.upf
As 74.92 As.upf
Se 78.96 Se.upf
CELL_PARAMETERS angstrom
5.5124 0.0000 0.0000
0.0000 5.5124 0.0000
0.0000 0.0000 5.2708
ATOMIC_POSITIONS angstrom
Rb 0.0000 0.0000 0.0000
Hg 2.7562 2.7562 2.6354
As 2.7562 2.7562 0.0000
Se 0.0000 2.7562 2.6354
Se 2.7562 0.0000 2.6354

***

Entry ii
! RbHgAsSe2 (PBE, optimized geometry); values from VASP
! Total magnetization in μB per formula unit: 2.81
! N(E_F) in states/eV/cell: 10.87
&SYSTEM
  ibrav = 0, nat = 5, ntyp = 4
/
ATOMIC_SPECIES
Rb 85.47 Rb.upf
Hg 200.59 Hg.upf
As 74.92 As.upf
Se 78.96 Se.upf
CELL_PARAMETERS angstrom
6.3066 0.0000 0.0000
0.0000 6.3066 0.0000
0.0000 0.0000 6.1222
ATOMIC_POSITIONS angstrom
Rb 0.0000 0.0000 0.0000
Hg 3.1533 3.1533 3.0611
As 0.0000 0.0000 3.0611
Se 0.0000 3.1533 0.0000
Se 3.1533 0.0000 0.0000

***

Which is the most stable structure? entry i is the most stable.

***

Entry i
! RbHg2TeAs (PBE, optimized geometry); values from VASP
! Total magnetization in μB per formula unit: 0.00
! N(E_F) in states/eV/cell: 4.11
&SYSTEM
  ibrav = 0, nat = 5, ntyp = 4
/
ATOMIC_SPECIES
Rb 85.47 Rb.upf
Hg 200.59 Hg.upf
Te 127.60 Te.upf
As 74.92 As.upf
CELL_PARAMETERS angstrom
5.5225 0.0000 0.0000
0.0000 5.5225 0.0000
0.0000 0.0000 5.9917
ATOMIC_POSITIONS angstrom
Rb 0.0000 0.0000 0.0000
Hg 0.0000 2.7612 2.9959
Hg 2.7612 0.0000 2.9959
Te 2.7612 2.7612 0.0000
As 2.7612 2.7612 2.9959

***

Entry ii
! RbHg2TeAs (PBE, optimized geometry); values from VASP
! Total magnetization in μB per formula unit: 0.00
! N(E_F) in states/eV/cell: 4.99
&SYSTEM
  ibrav = 0, nat = 5, ntyp = 4
/
ATOMIC_SPECIES
Rb 85.47 Rb.upf
Hg 200.59 Hg.upf
Te 127.60 Te.upf
As 74.92 As.upf
CELL_PARAMETERS angstrom
5.8289 0.0000 0.0000
0.0000 5.8289 0.0000
0.0000 0.0000 5.6814
ATOMIC_POSITIONS angstrom
Rb 0.0000 0.0000 0.0000
Hg 0.0000 2.9145 2.8407
Hg 2.9145 0.0000 2.8407
Te 2.9145 2.9145 2.8407
As 2.9145 2.9145 0.0000

***

Which is the most stable structure? entry i is the most stable.